# 1
# SrAc2Os

Crystalline SrAc2Os at its relaxed geometry (PBE, the Alexandria database).

Output
For the energy of formation from the pure elements, the calculation gives 0.10 eV/f.u. As for the density of states at the Fermi level: 0.678 states/eV per atom. As for the volume: 41.998 A^3/atom. As for the symmetry: R3m. The value obtained for the energy above the most stable polymorph in this dataset is 0 meV per atom. As for the density: 7.2 g cm⁻³.

abc: 4.3895 4.3895 10.3819
angles: 77.80 77.80 60.00
Fractional coordinates of all 4 atoms:
Ac 0.2824 0.2824 0.1528
Ac 0.0502 0.0502 0.8495
Sr 0.5014 0.5014 0.4957
Os 0.6660 0.6660 0.0020

# 2
# Na2Li2Br

Crystalline Na2Li2Br at its relaxed geometry (PBE, the Alexandria database).

Output
As for the density of states at the Fermi level: 0.488 states/eV per atom. As for the volume: 27.551 A^3/atom. As for the symmetry: I4/mmm. The value obtained for the energy above the most stable polymorph in this dataset is 0 meV per atom. Its uncorrected formation energy is -2.26 eV/f.u. As for the density: 1.7 g cm⁻³.

abc: 3.8346 3.8346 9.7531
angles: 78.66 78.66 90.00
Fractional coordinates of all 5 atoms:
Li 0.7500 0.2500 0.5000
Li 0.2500 0.7500 0.5000
Br 0.0000 0.0000 0.0000
Na 0.4065 0.4065 0.1869
Na 0.5935 0.5935 0.8131

# 3
# Tb2Pr6Sm3Er

Crystalline Tb2Pr6Sm3Er at its relaxed geometry (PBE, the Alexandria database).

Output
For the energy of formation from the pure elements, the calculation gives 0.14 eV/f.u. As for the density of states at the Fermi level: 1.247 states/eV per atom. As for the volume: 34.300 A^3/atom. As for the symmetry: C2/m. As for the density: 7.2 g cm⁻³.

abc: 6.3421 6.3421 12.0043
angles: 95.04 95.04 120.01
Fractional coordinates of all 12 atoms:
Er 0.0000 0.0000 0.0000
Tb 0.3333 0.6667 0.0000
Tb 0.6667 0.3333 0.0000
Pr 0.9170 0.5841 0.7525
Pr 0.5841 0.9170 0.7525
Pr 0.0830 0.4159 0.2475
Pr 0.2500 0.2500 0.7523
Pr 0.4159 0.0830 0.2475
Pr 0.7500 0.7500 0.2477
Sm 0.1666 0.8334 0.5000
Sm 0.5000 0.5000 0.5000
Sm 0.8334 0.1666 0.5000

# 4
# TcTe2Pt

Crystalline TcTe2Pt at its relaxed geometry (PBE, the Alexandria database).

Output
As for the density of states at the Fermi level: 0.546 states/eV per atom. As for the volume: 21.025 A^3/atom. As for the symmetry: Imm2. The value obtained for the energy above the most stable polymorph in this dataset is 343 meV per atom. Its uncorrected formation energy is 0.86 eV/f.u. As for the density: 10.8 g cm⁻³.

abc: 6.8700 6.8700 6.8700
angles: 153.15 144.84 44.79
Fractional coordinates of all 4 atoms:
Te 0.0531 0.0531 0.0000
Te 0.7866 0.2866 0.5000
Pt 0.4342 0.4342 0.0000
Tc 0.2262 0.7262 0.5000